{"formula": "Ba2SiOF5", "functional": "PBE", "state": "optimized geometry", "lattice": [[6.156, -0.396, -0.574], [-3.271, 5.230, 0.574], [-3.271, -1.326, 5.092]], "species": ["Ba", "Ba", "Si", "O", "F", "F", "F", "F", "F"], "frac_coords": [[0.500, 0.249, 0.749], [0.500, 0.749, 0.249], [0.000, 0.983, 0.983], [0.000, 0.809, 0.809], [0.439, 0.226, 0.226], [0.561, 0.786, 0.786], [0.000, 0.786, 0.226], [0.000, 0.226, 0.786], [0.000, 0.186, 0.186]], "sg": "No. 107", "final_energy_ev_per_atom": -5.6805, "e_form_raw_ev_per_atom": -3.06}